# 1
Density functional theory data (GGA-PBE) for a geometry-optimized Be2Si structure.

abc: 5.733 5.733 5.733
angles: 153.60 131.45 56.11
Atoms (fractional coordinates):
Be 0.635 0.135 0.500
Be 0.755 0.500 0.255
Be 0.245 0.500 0.745
Be 0.365 0.865 0.500
Si 0.834 0.834 0.000
Si 0.166 0.166 0.000

Results
Relative energy among the computed polymorphs: 78.4 meV/atom
Raw formation energy: 0.214 eV per atom
Total magnetization: 0.0 μB per formula unit
Electronic total energy: -24.46 eV/cell

=====

# 2
Density functional theory data (GGA-PBE) for a geometry-optimized Y2TmBi structure.

abc: 4.042 4.042 9.739
angles: 78.02 78.02 60.00
Each line ends with the local moment (μB).
Atoms (fractional coordinates):
Y 0.071 0.071 0.787  0.13
Y 0.263 0.263 0.212  0.01
Tm 0.500 0.500 0.499  0.20
Bi 0.666 0.666 0.001  0.00

Results
Relative energy among the computed polymorphs: 211.1 meV/atom
Energy of formation from the pure elements: -0.17 eV per atom
Total magnetization: 0.6 μB per formula unit
Electronic total energy: -21.98 eV/cell

=====

# 3
Density functional theory data (GGA-PBE) for a geometry-optimized CePm4Pr structure.

abc: 3.452 6.070 11.632
angles: 117.14 90.00 106.52
Each line ends with the local moment (μB).
Atoms (fractional coordinates):
Ce 0.500 0.000 0.000  0.83
Pm 0.158 0.316 0.846  0.05
Pm 0.842 0.684 0.154  0.05
Pm 0.657 0.315 0.338  0.03
Pm 0.343 0.685 0.662  0.03
Pr 0.000 0.000 0.500  0.01

Results
Relative energy among the computed polymorphs: 0.0 meV/atom
Energy of formation from the pure elements: 0.21 eV per atom
Total magnetization: 1.4 μB per formula unit
Electronic total energy: -28.45 eV/cell

=====

> Which of these has the lowest electronic total energy?

CePm4Pr

=====

> relative energy among the computed polymorphs of number 1 (Be2Si)?

78.4 meV/atom